Here is a geometry-optimized MoOsF2 structure from Alexandria. Energies are from PBE+U.

a = 4.1906 Å, b = 4.1906 Å, c = 4.1906 Å
α = 60.00°, β = 60.00°, γ = 60.00°
Closest atoms and distances in Å follow each position.
Atoms (fractional coordinates):
Mo 0.0000 0.0000 0.0000  8 F 2.57
Os 0.5000 0.5000 0.5000  8 F 2.57
F 0.2500 0.2500 0.2500  4 Mo 2.57, 4 Os 2.57
F 0.7500 0.7500 0.7500  4 Os 2.57, 4 Mo 2.57

Summary:
Size of the total moment = 1.69 μB per formula unit
Space group = No. 225
Density of states at the Fermi level = 6.70 states/eV/cell
Offset from the most stable computed form = 1054 meV/atom